Entry 1:
Computed, not measured: a geometry-optimized BaAg6Br8 structure at the PBE level of DFT.

Cell lengths 7.6782, 7.6782, 7.6782 Å; angles 95.11, 95.11, 95.11 degrees
Fractional positions:
Br  0.1993  0.8240  0.6607
Br  0.2929  0.2929  0.2929
Br  0.8240  0.6607  0.1993
Br  0.6607  0.1993  0.8240
Br  0.3393  0.8007  0.1760
Br  0.7071  0.7071  0.7071
Br  0.1760  0.3393  0.8007
Br  0.8007  0.1760  0.3393
Ba  0.0000  0.0000  0.0000
Ag  0.5788  0.3756  0.1235
Ag  0.1235  0.5788  0.3756
Ag  0.6244  0.8765  0.4212
Ag  0.4212  0.6244  0.8765
Ag  0.8765  0.4212  0.6244
Ag  0.3756  0.1235  0.5788

Calculated values
ΔE_f (raw) = -66.1 kJ/mol of atoms
DFT total energy = -2.85 eV/atom



Entry 2:
Computed, not measured: a geometry-optimized Pm2InI3 structure at the PBE level of DFT.

Cell lengths 4.2224, 10.6238, 11.2781 Å; angles 81.64, 79.21, 78.54 degrees
Last column: magnetic moment on the atom in μB.
Fractional positions:
In  0.5712  0.4812  0.3764  0.02
In  0.4288  0.5188  0.6236  0.02
Pm  0.3909  0.7895  0.4288  0.03
Pm  0.8733  0.4236  0.8297  0.06
Pm  0.6091  0.2105  0.5712  0.03
Pm  0.1267  0.5764  0.1703  0.06
I  0.9562  0.8710  0.2167  0.00
I  0.0438  0.1290  0.7833  0.00
I  0.2452  0.1252  0.3845  0.00
I  0.3215  0.3189  0.0380  0.00
I  0.6785  0.6811  0.9620  0.00
I  0.7548  0.8748  0.6155  0.00

Calculated values
ΔE_f (raw) = -90.2 kJ/mol of atoms
DFT total energy = -3.75 eV/atom